Run A
Computed, not measured: YCuF2 after structural relaxation at the PBE level of DFT.

Values from the calculation:
SG = No. 225
Density of states at the Fermi level = 0.00 states/eV/cell

Cell and atoms, written as extended XYZ:
```
4
Lattice="-2.219 -2.105 3.023 -4.041 -1.248 -0.776 -0.901 -4.174 -0.509" Properties=species:S:1:pos:R:3 pbc="T T T"
Y -3.580 -3.763 0.869
Cu 0.000 0.000 0.000
F -1.790 -1.882 0.434
F -5.371 -5.645 1.303
```


Run B
Computed, not measured: YCuF2 after structural relaxation at the PBE level of DFT.

Values from the calculation:
SG = No. 122
Density of states at the Fermi level = 0.00 states/eV/cell

Cell and atoms, written as extended XYZ:
```
8
Lattice="4.704 0.000 0.000 0.000 4.704 0.000 2.352 2.352 7.101" Properties=species:S:1:pos:R:3 pbc="T T T"
Y 0.000 0.000 0.000
Y 4.704 2.352 3.551
Cu 2.352 2.352 0.000
Cu 2.352 4.704 3.551
F 4.219 1.176 1.775
F 5.188 3.528 1.775
F 3.528 2.836 5.326
F 5.879 1.868 5.326
```


Run C
Computed, not measured: YCuF2 after structural relaxation at the PBE level of DFT.

Values from the calculation:
SG = No. 166
Density of states at the Fermi level = 1.88 states/eV/cell

Cell and atoms, written as extended XYZ:
```
4
Lattice="1.853 0.000 8.830 -0.927 1.605 8.830 -0.927 -1.605 8.830" Properties=species:S:1:pos:R:3 pbc="T T T"
Y 0.000 0.000 13.245
Cu 0.000 0.000 0.000
F 0.000 0.000 23.451
F 0.000 0.000 3.040
```


Which of them is the most stable, and which is the least stable? run B and run C, in that order.


Run A
Computed, not measured: YCuF3 after structural relaxation at the PBE level of DFT.

Values from the calculation:
SG = No. 221
Density of states at the Fermi level = 2.60 states/eV/cell

Cell and atoms, written as extended XYZ:
```
5
Lattice="-1.586 -3.020 2.341 3.703 -1.838 0.138 0.940 2.148 3.408" Properties=species:S:1:pos:R:3 pbc="T T T"
Y 1.529 -1.355 2.943
Cu 0.000 0.000 0.000
F 1.852 -0.919 0.069
F 0.470 1.074 1.704
F -0.793 -1.510 1.170
```


Run B
Computed, not measured: YCuF3 after structural relaxation at the PBE level of DFT.

Values from the calculation:
SG = No. 221
Density of states at the Fermi level = 1.95 states/eV/cell

Cell and atoms, written as extended XYZ:
```
5
Lattice="4.427 0.000 0.000 0.000 4.427 0.000 0.000 0.000 4.427" Properties=species:S:1:pos:R:3 pbc="T T T"
Y 0.000 0.000 0.000
Cu 2.214 2.214 2.214
F 0.000 2.214 0.000
F 0.000 0.000 2.214
F 2.214 0.000 0.000
```


Which of them is the most stable, and which is the least stable? run B and run A, in that order.


Run A
Computed, not measured: ZnCu3F after structural relaxation at the PBE level of DFT.

Values from the calculation:
SG = No. 221
Density of states at the Fermi level = 2.67 states/eV/cell

Cell and atoms, written as extended XYZ:
```
5
Lattice="-4.442 0.042 0.640 -0.348 -3.921 -2.155 0.539 -2.182 3.884" Properties=species:S:1:pos:R:3 pbc="T T T"
Zn 0.000 0.000 0.000
Cu -0.174 -1.961 -1.077
Cu 0.270 -1.091 1.942
Cu -2.221 0.021 0.320
F -2.125 -3.031 1.185
```


Run B
Computed, not measured: ZnCu3F after structural relaxation at the PBE level of DFT.

Values from the calculation:
SG = No. 221
Density of states at the Fermi level = 0.90 states/eV/cell

Cell and atoms, written as extended XYZ:
```
5
Lattice="4.135 0.000 0.000 0.000 4.135 0.000 0.000 0.000 4.135" Properties=species:S:1:pos:R:3 pbc="T T T"
Zn 2.067 2.067 2.067
Cu 0.000 2.067 0.000
Cu 0.000 0.000 2.067
Cu 2.067 0.000 0.000
F 0.000 0.000 0.000
```


Which of them is the most stable, and which is the least stable? run B and run A, in that order.


Run A
Computed, not measured: ZnCuF4 after structural relaxation at the PBE level of DFT.

Values from the calculation:
SG = No. 82

Cell and atoms, written as extended XYZ:
```
6
Lattice="6.005 0.000 0.000 0.000 6.005 0.000 -3.002 -3.002 2.631" Properties=species:S:1:pos:R:3 pbc="T T T"
Zn 3.002 0.000 1.315
Cu 3.002 3.002 0.000
F 2.147 4.693 0.167
F 3.858 1.311 0.167
F -1.691 -0.856 2.464
F 1.691 0.856 2.464
```


Run B
Computed, not measured: ZnCuF4 after structural relaxation at the PBE level of DFT.

Values from the calculation:
SG = No. 15

Cell and atoms, written as extended XYZ:
```
12
Lattice="-0.577 5.635 1.291 -3.623 -1.112 3.238 5.277 -2.838 1.664" Properties=species:S:1:pos:R:3 pbc="T T T"
Zn 1.559 0.064 2.046
Zn -0.469 1.625 4.150
Cu -1.806 -0.554 1.620
Cu -3.905 1.707 3.884
F -0.539 4.578 2.747
F 2.727 1.793 2.703
F 1.629 -2.890 3.449
F 3.291 -0.886 2.161
F -1.636 -0.105 3.492
F 0.052 1.648 2.147
F -2.202 2.574 4.034
F 1.038 0.041 4.048
```


Which of them is the most stable, and which is the least stable? run B and run A, in that order.


Run A
Computed, not measured: Zn3CuF after structural relaxation at the PBE level of DFT.

Values from the calculation:
SG = No. 221
Density of states at the Fermi level = 1.88 states/eV/cell

Cell and atoms, written as extended XYZ:
```
5
Lattice="4.280 0.000 0.000 0.000 4.280 0.000 0.000 0.000 4.280" Properties=species:S:1:pos:R:3 pbc="T T T"
Zn 0.000 2.140 0.000
Zn 0.000 0.000 2.140
Zn 2.140 0.000 0.000
Cu 2.140 2.140 2.140
F 0.000 0.000 0.000
```


Run B
Computed, not measured: Zn3CuF after structural relaxation at the PBE level of DFT.

Values from the calculation:
SG = No. 221
Density of states at the Fermi level = 1.16 states/eV/cell

Cell and atoms, written as extended XYZ:
```
5
Lattice="-4.156 0.417 1.977 -1.428 -3.804 -2.201 1.429 -2.590 3.550" Properties=species:S:1:pos:R:3 pbc="T T T"
Zn -0.714 -1.902 -1.100
Zn 0.715 -1.295 1.775
Zn -2.078 0.208 0.988
Cu 0.000 0.000 0.000
F -2.078 -2.989 1.663
```


Which of them is the most stable, and which is the least stable? run B and run A, in that order.


Run A
Computed, not measured: Zn2CuF after structural relaxation at the PBE level of DFT.

Values from the calculation:
SG = No. 225
Density of states at the Fermi level = 1.30 states/eV/cell

Cell and atoms, written as extended XYZ:
```
4
Lattice="-2.881 -0.391 3.141 -3.715 2.113 -0.228 -3.641 -2.142 -0.690" Properties=species:S:1:pos:R:3 pbc="T T T"
Zn -2.559 -0.105 0.556
Zn -7.677 -0.315 1.667
Cu -5.118 -0.210 1.111
F 0.000 0.000 0.000
```


Run B
Computed, not measured: Zn2CuF after structural relaxation at the PBE level of DFT.

Values from the calculation:
SG = No. 122
Density of states at the Fermi level = 0.73 states/eV/cell

Cell and atoms, written as extended XYZ:
```
8
Lattice="6.194 0.000 0.000 0.000 6.194 0.000 3.097 3.097 3.004" Properties=species:S:1:pos:R:3 pbc="T T T"
Zn 4.463 1.548 0.751
Zn 1.731 4.645 0.751
Zn 4.645 4.828 2.253
Zn 7.742 7.560 2.253
Cu 0.000 0.000 0.000
Cu 6.194 3.097 1.502
F 3.097 3.097 0.000
F 3.097 6.194 1.502
```


Which of them is the most stable, and which is the least stable? run B and run A, in that order.


Run A
Computed, not measured: Fe4Cu after structural relaxation at the PBE level of DFT.

Values from the calculation:
SG = No. 221
Density of states at the Fermi level = 6.69 states/eV/cell

Cell and atoms, written as extended XYZ:
```
5
Lattice="-0.564 2.823 3.220 -2.474 -2.865 2.079 3.495 -1.573 1.991" Properties=species:S:1:pos:R:3 pbc="T T T"
Fe 0.000 0.000 0.000
Fe 1.465 0.625 2.605
Fe 0.510 -2.219 2.035
Fe -1.519 -0.021 2.649
Cu 0.228 -0.808 3.645
```


Run B
Computed, not measured: Fe4Cu after structural relaxation at the PBE level of DFT.

Values from the calculation:
SG = No. 139
Density of states at the Fermi level = 5.20 states/eV/cell

Cell and atoms, written as extended XYZ:
```
5
Lattice="1.085 -2.700 4.732 -3.671 -2.181 3.552 1.367 0.309 -5.375" Properties=species:S:1:pos:R:3 pbc="T T T"
Fe -1.799 -2.157 1.160
Fe -1.558 -2.940 4.989
Fe -1.028 -1.941 3.295
Fe 0.579 -2.416 1.749
Cu 0.000 0.000 0.000
```


Which of them is the most stable, and which is the least stable? run B and run A, in that order.


Run A
Computed, not measured: Fe4Cu3 after structural relaxation at the PBE level of DFT.

Values from the calculation:
SG = No. 139
Density of states at the Fermi level = 8.53 states/eV/cell

Cell and atoms, written as extended XYZ:
```
7
Lattice="3.836 5.128 7.514 4.245 7.789 4.335 -5.921 -5.668 -5.504" Properties=species:S:1:pos:R:3 pbc="T T T"
Fe 6.943 11.098 10.180
Fe 4.639 7.416 6.802
Fe 3.442 5.502 5.047
Fe 1.138 1.820 1.669
Cu 0.000 0.000 0.000
Cu 5.776 9.233 8.469
Cu 2.305 3.685 3.380
```


Run B
Computed, not measured: Fe4Cu3 after structural relaxation at the PBE level of DFT.

Values from the calculation:
SG = No. 191
Density of states at the Fermi level = 6.63 states/eV/cell

Cell and atoms, written as extended XYZ:
```
7
Lattice="2.318 -4.016 0.000 2.318 4.016 0.000 0.000 0.000 4.605" Properties=species:S:1:pos:R:3 pbc="T T T"
Fe 0.000 0.000 1.203
Fe 0.000 0.000 3.402
Fe 2.318 -1.339 2.303
Fe 2.318 1.339 2.303
Cu 1.159 2.008 0.000
Cu 2.318 0.000 0.000
Cu 1.159 -2.008 0.000
```


Which of them is the most stable, and which is the least stable? run A and run B, in that order.


Run A
Computed, not measured: Fe5Cu after structural relaxation at the PBE level of DFT.

Values from the calculation:
SG = No. 216
Density of states at the Fermi level = 7.91 states/eV/cell

Cell and atoms, written as extended XYZ:
```
6
Lattice="-0.733 -3.968 -2.340 -3.114 -0.120 -3.472 1.446 -0.404 -4.417" Properties=species:S:1:pos:R:3 pbc="T T T"
Fe -0.900 -1.685 -3.836
Fe -1.801 -3.369 -7.672
Fe -2.457 -1.744 -5.572
Fe -0.178 -1.887 -6.044
Fe -1.267 -3.668 -5.006
Cu 0.000 0.000 0.000
```


Run B
Computed, not measured: Fe5Cu after structural relaxation at the PBE level of DFT.

Values from the calculation:
SG = No. 8
Density of states at the Fermi level = 6.20 states/eV/cell

Cell and atoms, written as extended XYZ:
```
6
Lattice="-4.782 0.847 -1.210 -4.775 -1.452 -0.375 -2.549 1.927 5.329" Properties=species:S:1:pos:R:3 pbc="T T T"
Fe -4.058 0.408 1.159
Fe -8.107 0.856 2.426
Fe -6.523 0.194 0.589
Fe -10.548 0.632 1.830
Fe -5.040 1.679 4.667
Cu -2.574 1.905 5.268
```


Which of them is the most stable, and which is the least stable? run B and run A, in that order.


Run A
Computed, not measured: Ga2FeCu2 after structural relaxation at the PBE level of DFT.

Values from the calculation:
SG = No. 139
Density of states at the Fermi level = 4.17 states/eV/cell

Cell and atoms, written as extended XYZ:
```
5
Lattice="3.644 0.000 0.000 0.000 3.644 0.000 1.822 1.822 5.601" Properties=species:S:1:pos:R:3 pbc="T T T"
Cu 1.822 1.822 1.134
Cu 3.644 3.644 4.466
Ga 3.644 1.822 2.800
Ga 1.822 3.644 2.800
Fe 0.000 0.000 0.000
```


Run B
Computed, not measured: Ga2FeCu2 after structural relaxation at the PBE level of DFT.

Values from the calculation:
SG = No. 127
Density of states at the Fermi level = 5.31 states/eV/cell

Cell and atoms, written as extended XYZ:
```
10
Lattice="6.987 0.000 0.000 0.000 6.987 0.000 0.000 0.000 2.802" Properties=species:S:1:pos:R:3 pbc="T T T"
Cu 0.981 4.474 1.401
Cu 4.474 6.006 1.401
Cu 6.006 2.513 1.401
Cu 2.513 0.981 1.401
Ga 2.385 5.878 0.000
Ga 5.878 4.602 0.000
Ga 4.602 1.108 0.000
Ga 1.108 2.385 0.000
Fe 0.000 0.000 0.000
Fe 3.493 3.493 0.000
```


Which of them is the most stable, and which is the least stable? run B and run A, in that order.


Run A
Computed, not measured: GaFe3Cu after structural relaxation at the PBE level of DFT.

Values from the calculation:
SG = No. 166
Density of states at the Fermi level = 9.92 states/eV/cell

Cell and atoms, written as extended XYZ:
```
10
Lattice="4.726 0.000 1.522 2.118 4.224 1.522 0.392 0.242 6.880" Properties=species:S:1:pos:R:3 pbc="T T T"
Ga 0.915 0.565 5.256
Ga 6.320 3.901 4.668
Fe 2.084 2.755 5.649
Fe 3.396 0.628 5.649
Fe 2.773 1.712 3.509
Fe 3.839 3.838 4.275
Fe 5.152 1.712 4.275
Fe 4.462 2.755 6.415
Cu 2.678 1.653 7.879
Cu 4.557 2.813 2.045
```


Run B
Computed, not measured: GaFe3Cu after structural relaxation at the PBE level of DFT.

Values from the calculation:
SG = No. 221
Density of states at the Fermi level = 6.24 states/eV/cell

Cell and atoms, written as extended XYZ:
```
5
Lattice="4.391 0.000 0.000 0.000 4.391 0.000 0.000 0.000 4.391" Properties=species:S:1:pos:R:3 pbc="T T T"
Cu 0.000 0.000 0.000
Ga 2.196 2.196 2.196
Fe 0.000 2.196 0.000
Fe 0.000 0.000 2.196
Fe 2.196 0.000 0.000
```


Which of them is the most stable, and which is the least stable? run A and run B, in that order.


Run A
Computed, not measured: GaFeCu2H after structural relaxation at the PBE level of DFT.

Values from the calculation:
SG = No. 123
Density of states at the Fermi level = 2.07 states/eV/cell

Cell and atoms, written as extended XYZ:
```
5
Lattice="3.710 0.000 0.000 0.000 3.710 0.000 0.000 0.000 3.781" Properties=species:S:1:pos:R:3 pbc="T T T"
H 0.000 0.000 0.000
Cu 0.000 1.855 0.000
Cu 1.855 0.000 0.000
Ga 1.855 1.855 1.890
Fe 0.000 0.000 1.890
```


Run B
Computed, not measured: GaFeCu2H after structural relaxation at the PBE level of DFT.

Values from the calculation:
SG = No. 123
Density of states at the Fermi level = 4.44 states/eV/cell

Cell and atoms, written as extended XYZ:
```
5
Lattice="4.561 0.000 0.000 0.000 3.040 0.000 0.000 0.000 4.561" Properties=species:S:1:pos:R:3 pbc="T T T"
H 0.000 1.520 0.000
Cu 0.000 0.000 2.281
Cu 2.281 0.000 0.000
Ga 0.000 0.000 0.000
Fe 2.281 1.520 2.281
```


Which of them is the most stable, and which is the least stable? run A and run B, in that order.


Run A
Computed, not measured: Fe2CuGe2 after structural relaxation at the PBE level of DFT.

Values from the calculation:
SG = No. 127
Density of states at the Fermi level = 5.88 states/eV/cell

Cell and atoms, written as extended XYZ:
```
10
Lattice="-6.161 -2.505 -0.870 0.740 -3.736 5.522 -1.078 2.105 1.569" Properties=species:S:1:pos:R:3 pbc="T T T"
Ge -1.033 -1.810 4.287
Ge -3.980 -3.740 4.852
Ge -5.466 -2.326 1.934
Ge -2.519 -0.396 1.369
Fe -1.586 -4.120 4.439
Fe -4.831 -4.545 2.781
Fe -3.836 -2.122 0.213
Fe -0.591 -1.697 1.871
Cu 0.000 0.000 0.000
Cu -2.711 -3.121 2.326
```


Run B
Computed, not measured: Fe2CuGe2 after structural relaxation at the PBE level of DFT.

Values from the calculation:
SG = No. 51
Density of states at the Fermi level = 7.88 states/eV/cell

Cell and atoms, written as extended XYZ:
```
10
Lattice="3.989 0.000 0.000 0.000 4.953 0.000 0.000 0.000 6.771" Properties=species:S:1:pos:R:3 pbc="T T T"
Fe 1.995 3.715 1.107
Fe 1.995 1.238 5.664
Fe 1.995 0.000 3.386
Fe 1.995 2.477 3.386
Cu 0.000 2.477 0.000
Cu 0.000 0.000 0.000
Ge 0.000 3.715 2.565
Ge 0.000 1.238 4.206
Ge 1.995 1.238 1.293
Ge 1.995 3.715 5.478
```


Which of them is the most stable, and which is the least stable? run B and run A, in that order.